Material: CeSbS4
Method: DFT, GGA-PBE
State: optimized geometry

Structure (extended XYZ):
```
12
Lattice="6.117 -0.436 0.000 -0.921 6.063 0.000 0.000 0.000 9.227" Properties=species:S:1:pos:R:3 pbc="T T T"
Ce 1.912 2.071 6.920
Ce 3.284 3.556 2.307
Sb 4.621 5.005 6.920
Sb 0.575 0.623 2.307
S 4.314 0.341 2.307
S 0.882 5.286 6.920
S -0.003 4.328 2.307
S 5.199 1.299 6.920
S 3.431 3.716 5.184
S 1.765 1.911 0.570
S 3.431 3.716 8.656
S 1.765 1.911 4.043
```

space-group type = No. 63
formation energy without anion corrections = -0.788 eV per atom